## SrZnSi (PBE)

Data for crystalline SrZnSi at its relaxed geometry.

extended XYZ file:
```
12
Lattice="-4.090 -1.230 -0.114 2.546 -1.339 3.159 -4.711 14.733 10.044" Properties=species:S:1:pos:R:3 pbc="T T T"
Sr -1.178 3.683 2.511
Sr -3.533 11.049 7.533
Sr -2.355 7.366 5.022
Sr 0.000 0.000 0.000
Zn -0.256 0.544 3.326
Zn -1.431 4.217 5.831
Zn -5.998 11.620 9.762
Zn -4.824 7.946 7.257
Si -3.794 11.606 10.868
Si -2.605 7.887 8.333
Si -2.461 0.557 2.220
Si -3.650 4.277 4.755
```

- Spin magnetization: 0.00 μB per cell
- Energy relative to the elements, uncorrected: -0.423 eV/atom
- Calculated density: 4127 kg/m³
- Crystal system: hexagonal

---

## Sr2ZnSi (PBE)

Data for crystalline Sr2ZnSi at its relaxed geometry.

extended XYZ file:
```
4
Lattice="-3.610 1.716 -1.745 1.470 -1.243 -4.263 -1.997 -5.797 -1.570" Properties=species:S:1:pos:R:3 pbc="T T T"
Sr -0.349 -6.450 -5.621
Sr -2.078 -1.422 -2.549
Zn -0.036 -3.845 -3.706
Si -2.463 -4.166 -4.452
```

- Spin magnetization: 0.00 μB per cell
- Energy above the most stable polymorph in this dataset: 0.016 eV/atom
- Energy relative to the elements, uncorrected: -0.318 eV/atom
- Calculated density: 3720 kg/m³
- Crystal system: orthorhombic

---

## SrZnSi (PBE)

Data for crystalline SrZnSi at its relaxed geometry.

extended XYZ file:
```
6
Lattice="4.059 -0.001 -0.001 2.031 6.082 0.066 2.031 1.311 5.939" Properties=species:S:1:pos:R:3 pbc="T T T"
Sr 3.337 3.120 4.897
Sr 5.366 5.504 1.960
Zn 5.367 5.721 5.472
Zn 7.396 6.600 4.389
Si 5.366 2.051 2.433
Si 3.336 2.875 1.420
```

- Spin magnetization: 0.00 μB per cell
- Energy relative to the elements, uncorrected: -0.350 eV/atom
- Calculated density: 4112 kg/m³
- Crystal system: orthorhombic

---

## SrZn3Si (PBE)

Data for crystalline SrZn3Si at its relaxed geometry.

extended XYZ file:
```
5
Lattice="-2.157 -1.308 -4.190 2.059 -4.425 0.322 -3.877 -1.622 2.502" Properties=species:S:1:pos:R:3 pbc="T T T"
Sr -1.988 -3.677 -0.683
Zn 1.029 -2.212 0.161
Zn -1.938 -0.811 1.251
Zn -1.079 -0.654 -2.095
Si 0.000 0.000 0.000
```

- Spin magnetization: 0.00 μB per cell
- Energy above the most stable polymorph in this dataset: 0.000 eV/atom
- Energy relative to the elements, uncorrected: 0.095 eV/atom
- Calculated density: 4427 kg/m³
- Crystal system: cubic

---

Q: The highest calculated density belongs to which entry?
A: SrZn3Si

---

Q: Which value of calculated density does entry 3 give?
A: 4112 kg/m³

---

Q: Look up the calculated density of the third one.
A: 4112 kg/m³

---

Q: Which formula does entry 4 have?
A: SrZn3Si